1.
The following is a PBE calculation of an optimized crystal structure of K2CuHCl6, from Alexandria.

Unit cell a=8.829 b=6.120 c=11.354 alpha=90.00 beta=114.25 gamma=90.00
Element x y z (fractional)
1 K 0.231 0.002 0.217
2 K 0.231 0.498 0.717
3 K 0.769 0.502 0.283
4 K 0.769 0.998 0.783
5 Cu 0.500 0.000 0.000
6 Cu 0.500 0.500 0.500
7 H 0.000 0.000 0.500
8 H 0.000 0.500 0.000
9 Cl 0.080 0.691 0.952
10 Cl 0.080 0.809 0.452
11 Cl 0.333 0.234 0.495
12 Cl 0.333 0.266 0.995
13 Cl 0.392 0.505 0.289
14 Cl 0.392 0.995 0.789
15 Cl 0.608 0.005 0.211
16 Cl 0.608 0.495 0.711
17 Cl 0.667 0.734 0.005
18 Cl 0.667 0.766 0.505
19 Cl 0.920 0.191 0.548
20 Cl 0.920 0.309 0.048

Properties
Space-group type: P2_1/c (14)
V, Å³/f.u.: 279.7
Energy, eV for the cell shown: -62.45

=====

2.
The following is a PBE calculation of an optimized crystal structure of K2CuH2Cl4, from Alexandria.

Unit cell a=6.545 b=6.545 c=6.545 alpha=114.49 beta=114.49 gamma=99.84
Element x y z (fractional)
1 K 0.250 0.750 0.500
2 K 0.750 0.250 0.500
3 Cu 0.000 0.000 0.000
4 H 0.182 0.182 0.000
5 H 0.818 0.818 0.000
6 Cl 0.235 0.235 0.469
7 Cl 0.235 0.765 0.000
8 Cl 0.765 0.235 0.000
9 Cl 0.765 0.765 0.531

Properties
Space-group type: I4/mmm (139)
V, Å³/f.u.: 211.4
Energy, eV for the cell shown: -26.88